# 1
Computed, not measured: LaAlGaAu2 after structural relaxation at the PBE-GGA level of DFT.

Lattice parameters (Å, degrees): 4.4711 4.4711 10.6010 90.00 90.00 90.00
Fractional positions:
La  0.2500  0.2500  0.2461
La  0.7500  0.7500  0.7539
Al  0.2500  0.7500  0.5000
Al  0.7500  0.2500  0.5000
Ga  0.2500  0.2500  0.8656
Ga  0.7500  0.7500  0.1344
Au  0.2500  0.2500  0.6251
Au  0.2500  0.7500  0.0000
Au  0.7500  0.2500  0.0000
Au  0.7500  0.7500  0.3749

Calculated values
The distance to the lowest polymorph of the same formula is 0.00 kcal/mol of atoms. As for the space group: P4/nmm (129). For the size of the total moment, the calculation gives 0.0 μB per cell.

---

# 2
Computed, not measured: NaInPd2 after structural relaxation at the PBE-GGA level of DFT.

Lattice parameters (Å, degrees): 7.4064 7.3357 5.8709 90.00 90.00 90.00
Fractional positions:
Na  0.0261  0.2500  0.1678
Na  0.4739  0.7500  0.6678
Na  0.5261  0.2500  0.3322
Na  0.9739  0.7500  0.8322
In  0.0909  0.7500  0.3264
In  0.4091  0.2500  0.8264
In  0.5909  0.7500  0.1736
In  0.9091  0.2500  0.6736
Pd  0.1952  0.0471  0.5581
Pd  0.1952  0.4529  0.5581
Pd  0.3048  0.5471  0.0581
Pd  0.3048  0.9529  0.0581
Pd  0.6952  0.0471  0.9419
Pd  0.6952  0.4529  0.9419
Pd  0.8048  0.5471  0.4419
Pd  0.8048  0.9529  0.4419

Calculated values
The calculation puts the calculated total energy at -62.149 eV/cell. As for the space group: Pnma (62).

---

# 3
Computed, not measured: Dy4B3C4 after structural relaxation at the PBE-GGA level of DFT.

Lattice parameters (Å, degrees): 3.5398 3.6130 11.9241 92.70 97.77 90.13
Fractional positions:
Dy  0.1020  0.4486  0.1385
Dy  0.2971  0.0214  0.6507
Dy  0.7029  0.9786  0.3493
Dy  0.8980  0.5514  0.8615
B  0.2781  0.4939  0.4566
B  0.5000  0.0000  0.0000
B  0.7219  0.5061  0.5434
C  0.1962  0.4751  0.3308
C  0.4065  0.0568  0.8777
C  0.5935  0.9432  0.1223
C  0.8038  0.5249  0.6692

Calculated values
The calculation puts the calculated total energy at -80.451 eV/cell. As for the space group: P-1 (2). For the size of the total moment, the calculation gives 0.0 μB per cell.